--- one ---
Compound: DyScIr
Source: Alexandria via LeMat-Bulk
Functional: PBE
Structure: relaxed

a b c (Å): 6.596 6.596 6.596
angles (deg): 90.00 90.00 90.00
Fractional coordinates of all 12 atoms:
Dy: 0.000 0.000 0.000
Dy: 0.000 0.500 0.500
Dy: 0.500 0.000 0.500
Dy: 0.500 0.500 0.000
Sc: 0.000 0.000 0.500
Sc: 0.000 0.500 0.000
Sc: 0.500 0.000 0.000
Sc: 0.500 0.500 0.500
Ir: 0.250 0.250 0.250
Ir: 0.250 0.750 0.750
Ir: 0.750 0.250 0.750
Ir: 0.750 0.750 0.250

Calculated values
SG: No. 216
magnetization: 0.0 μB per cell

***

--- two ---
Compound: DyScIr
Source: Alexandria via LeMat-Bulk
Functional: PBE
Structure: relaxed

a b c (Å): 3.287 3.287 12.500
angles (deg): 90.00 90.00 90.00
Fractional coordinates of all 6 atoms:
Dy: 0.000 0.000 0.000
Dy: 0.500 0.500 0.500
Sc: 0.000 0.000 0.267
Sc: 0.500 0.500 0.767
Ir: 0.000 0.000 0.646
Ir: 0.500 0.500 0.146

Calculated values
SG: No. 107
magnetization: 0.0 μB per cell

***

--- three ---
Compound: DyScIr
Source: Alexandria via LeMat-Bulk
Functional: PBE
Structure: relaxed

a b c (Å): 7.146 7.146 4.447
angles (deg): 90.08 90.08 59.93
Fractional coordinates of all 9 atoms:
Dy: 0.000 0.000 0.000
Dy: 0.414 0.173 0.000
Dy: 0.827 0.586 0.000
Sc: 0.160 0.587 0.500
Sc: 0.413 0.840 0.500
Sc: 0.667 0.333 0.500
Ir: 0.080 0.253 0.500
Ir: 0.414 0.586 0.000
Ir: 0.747 0.920 0.500

Calculated values
SG: No. 5
magnetization: 0.0 μB per cell

***

So which one is most stable? That would be three, about 92 meV/atom below the next structure.

***

--- one ---
Compound: Dy2IrSe
Source: Alexandria via LeMat-Bulk
Functional: PBE
Structure: relaxed

a b c (Å): 3.961 22.558 4.139
angles (deg): 90.00 90.00 90.00
Fractional coordinates of all 16 atoms:
Dy: 0.000 0.063 0.250
Dy: 0.000 0.330 0.250
Dy: 0.000 0.670 0.750
Dy: 0.000 0.937 0.750
Dy: 0.500 0.170 0.750
Dy: 0.500 0.437 0.750
Dy: 0.500 0.563 0.250
Dy: 0.500 0.830 0.250
Ir: 0.000 0.457 0.250
Ir: 0.000 0.543 0.750
Ir: 0.500 0.043 0.750
Ir: 0.500 0.957 0.250
Se: 0.000 0.194 0.250
Se: 0.000 0.806 0.750
Se: 0.500 0.306 0.750
Se: 0.500 0.694 0.250

Calculated values
SG: No. 63
magnetization: 0.0 μB per cell

***

--- two ---
Compound: Dy2IrSe
Source: Alexandria via LeMat-Bulk
Functional: PBE
Structure: relaxed

a b c (Å): 3.986 3.986 21.140
angles (deg): 90.00 90.00 120.00
Fractional coordinates of all 12 atoms:
Dy: 0.000 0.000 0.242
Dy: 0.000 0.000 0.758
Dy: 0.333 0.667 0.424
Dy: 0.333 0.667 0.909
Dy: 0.667 0.333 0.091
Dy: 0.667 0.333 0.576
Ir: 0.000 0.000 0.500
Ir: 0.333 0.667 0.167
Ir: 0.667 0.333 0.833
Se: 0.000 0.000 0.000
Se: 0.333 0.667 0.667
Se: 0.667 0.333 0.333

Calculated values
SG: No. 166
magnetization: 0.0 μB per cell

***

So which one is most stable? That would be one, about 71 meV/atom below the next structure.

***

--- one ---
Compound: Dy3IrSe2
Source: Alexandria via LeMat-Bulk
Functional: PBE
Structure: relaxed

a b c (Å): 13.508 12.877 7.165
angles (deg): 79.17 69.43 31.40
Fractional coordinates of all 24 atoms:
Dy: 0.038 0.537 0.190
Dy: 0.103 0.647 0.647
Dy: 0.190 0.736 0.038
Dy: 0.264 0.810 0.463
Dy: 0.353 0.897 0.897
Dy: 0.463 0.962 0.264
Dy: 0.537 0.038 0.736
Dy: 0.647 0.103 0.103
Dy: 0.736 0.190 0.537
Dy: 0.810 0.264 0.962
Dy: 0.897 0.353 0.353
Dy: 0.962 0.463 0.810
Ir: 0.042 0.042 0.208
Ir: 0.208 0.208 0.042
Ir: 0.792 0.792 0.958
Ir: 0.958 0.958 0.792
Se: 0.128 0.128 0.622
Se: 0.295 0.295 0.455
Se: 0.378 0.378 0.872
Se: 0.455 0.455 0.295
Se: 0.545 0.545 0.705
Se: 0.622 0.622 0.128
Se: 0.705 0.705 0.545
Se: 0.872 0.872 0.378

Calculated values
SG: No. 70
magnetization: 0.0 μB per cell

***

--- two ---
Compound: Dy3IrSe2
Source: Alexandria via LeMat-Bulk
Functional: PBE
Structure: relaxed

a b c (Å): 7.149 7.149 6.961
angles (deg): 99.96 99.96 118.68
Fractional coordinates of all 12 atoms:
Dy: 0.000 0.500 0.000
Dy: 0.147 0.296 0.495
Dy: 0.296 0.147 0.995
Dy: 0.500 0.000 0.500
Dy: 0.704 0.853 0.005
Dy: 0.853 0.704 0.505
Ir: 0.089 0.911 0.250
Ir: 0.911 0.089 0.750
Se: 0.258 0.742 0.750
Se: 0.418 0.582 0.250
Se: 0.582 0.418 0.750
Se: 0.742 0.258 0.250

Calculated values
SG: No. 15
magnetization: 0.0 μB per cell

***

So which one is most stable? That would be one, about 28 meV/atom below the next structure.

***

--- one ---
Compound: Dy3Si3Ir2
Source: Alexandria via LeMat-Bulk
Functional: PBE
Structure: relaxed

a b c (Å): 5.627 5.627 14.007
angles (deg): 90.00 90.00 135.72
Fractional coordinates of all 16 atoms:
Dy: 0.083 0.917 0.612
Dy: 0.083 0.917 0.888
Dy: 0.362 0.638 0.750
Dy: 0.638 0.362 0.250
Dy: 0.917 0.083 0.112
Dy: 0.917 0.083 0.388
Si: 0.333 0.667 0.250
Si: 0.379 0.621 0.535
Si: 0.379 0.621 0.965
Si: 0.621 0.379 0.035
Si: 0.621 0.379 0.465
Si: 0.667 0.333 0.750
Ir: 0.202 0.798 0.097
Ir: 0.202 0.798 0.403
Ir: 0.798 0.202 0.597
Ir: 0.798 0.202 0.903

Calculated values
SG: No. 63
magnetization: 0.0 μB per cell

***

--- two ---
Compound: Dy3Si3Ir2
Source: Alexandria via LeMat-Bulk
Functional: PBE
Structure: relaxed

a b c (Å): 7.962 13.915 5.687
angles (deg): 90.00 90.00 90.00
Fractional coordinates of all 32 atoms:
Dy: 0.045 0.114 0.121
Dy: 0.045 0.386 0.121
Dy: 0.194 0.250 0.627
Dy: 0.306 0.750 0.127
Dy: 0.455 0.614 0.621
Dy: 0.455 0.886 0.621
Dy: 0.545 0.114 0.379
Dy: 0.545 0.386 0.379
Dy: 0.694 0.250 0.873
Dy: 0.806 0.750 0.373
Dy: 0.955 0.614 0.879
Dy: 0.955 0.886 0.879
Si: 0.157 0.750 0.597
Si: 0.197 0.041 0.630
Si: 0.197 0.459 0.630
Si: 0.303 0.541 0.130
Si: 0.303 0.959 0.130
Si: 0.343 0.250 0.097
Si: 0.657 0.750 0.903
Si: 0.697 0.041 0.870
Si: 0.697 0.459 0.870
Si: 0.803 0.541 0.370
Si: 0.803 0.959 0.370
Si: 0.843 0.250 0.403
Ir: 0.087 0.592 0.390
Ir: 0.087 0.908 0.390
Ir: 0.413 0.092 0.890
Ir: 0.413 0.408 0.890
Ir: 0.587 0.592 0.110
Ir: 0.587 0.908 0.110
Ir: 0.913 0.092 0.610
Ir: 0.913 0.408 0.610

Calculated values
SG: No. 62
magnetization: 0.0 μB per cell

***

So which one is most stable? That would be one, about 13 meV/atom below the next structure.

***

--- one ---
Compound: DySi3Ir3
Source: Alexandria via LeMat-Bulk
Functional: PBE
Structure: relaxed

a b c (Å): 6.536 6.536 6.536
angles (deg): 90.00 90.00 90.00
Fractional coordinates of all 14 atoms:
Dy: 0.000 0.000 0.000
Dy: 0.500 0.500 0.500
Si: 0.000 0.250 0.500
Si: 0.000 0.750 0.500
Si: 0.250 0.500 0.000
Si: 0.500 0.000 0.250
Si: 0.500 0.000 0.750
Si: 0.750 0.500 0.000
Ir: 0.000 0.500 0.250
Ir: 0.000 0.500 0.750
Ir: 0.250 0.000 0.500
Ir: 0.500 0.250 0.000
Ir: 0.500 0.750 0.000
Ir: 0.750 0.000 0.500

Calculated values
SG: No. 223
magnetization: 0.0 μB per cell

***

--- two ---
Compound: DySi3Ir3
Source: Alexandria via LeMat-Bulk
Functional: PBE
Structure: relaxed

a b c (Å): 7.590 7.590 7.590
angles (deg): 53.60 53.60 53.60
Fractional coordinates of all 14 atoms:
Dy: 0.165 0.165 0.165
Dy: 0.835 0.835 0.835
Si: 0.118 0.698 0.406
Si: 0.302 0.594 0.882
Si: 0.406 0.118 0.698
Si: 0.594 0.882 0.302
Si: 0.698 0.406 0.118
Si: 0.882 0.302 0.594
Ir: 0.023 0.387 0.746
Ir: 0.254 0.977 0.613
Ir: 0.387 0.746 0.023
Ir: 0.613 0.254 0.977
Ir: 0.746 0.023 0.387
Ir: 0.977 0.613 0.254

Calculated values
SG: No. 148
magnetization: 0.0 μB per cell

***

So which one is most stable? That would be two, about 231 meV/atom below the next structure.

***

--- one ---
Compound: Dy2Si4Ir3
Source: Alexandria via LeMat-Bulk
Functional: PBE
Structure: relaxed

a b c (Å): 7.859 7.859 7.183
angles (deg): 90.00 90.00 138.16
Fractional coordinates of all 18 atoms:
Dy: 0.106 0.894 0.906
Dy: 0.394 0.606 0.406
Dy: 0.606 0.394 0.594
Dy: 0.894 0.106 0.094
Si: 0.180 0.820 0.524
Si: 0.188 0.312 0.750
Si: 0.312 0.188 0.250
Si: 0.320 0.680 0.024
Si: 0.680 0.320 0.976
Si: 0.688 0.812 0.750
Si: 0.812 0.688 0.250
Si: 0.820 0.180 0.476
Ir: 0.000 0.000 0.500
Ir: 0.021 0.479 0.750
Ir: 0.479 0.021 0.250
Ir: 0.500 0.500 0.000
Ir: 0.521 0.979 0.750
Ir: 0.979 0.521 0.250

Calculated values
SG: No. 64
magnetization: 0.0 μB per cell

***

--- two ---
Compound: Dy2Si4Ir3
Source: Alexandria via LeMat-Bulk
Functional: PBE
Structure: relaxed

a b c (Å): 7.616 6.526 5.528
angles (deg): 77.89 56.91 45.21
Fractional coordinates of all 9 atoms:
Dy: 0.134 0.134 0.866
Dy: 0.866 0.866 0.134
Si: 0.166 0.515 0.485
Si: 0.485 0.834 0.166
Si: 0.515 0.166 0.834
Si: 0.834 0.485 0.515
Ir: 0.000 0.000 0.500
Ir: 0.500 0.500 0.000
Ir: 0.500 0.500 0.500

Calculated values
SG: No. 69
magnetization: 0.0 μB per cell

***

So which one is most stable? That would be one, about 193 meV/atom below the next structure.

***

--- one ---
Compound: SmDy2Ir
Source: Alexandria via LeMat-Bulk
Functional: PBE
Structure: relaxed

a b c (Å): 7.269 9.375 6.435
angles (deg): 90.00 90.00 90.00
Fractional coordinates of all 16 atoms:
Sm: 0.034 0.250 0.134
Sm: 0.466 0.750 0.634
Sm: 0.534 0.250 0.366
Sm: 0.966 0.750 0.866
Dy: 0.176 0.064 0.671
Dy: 0.176 0.436 0.671
Dy: 0.324 0.564 0.171
Dy: 0.324 0.936 0.171
Dy: 0.676 0.064 0.829
Dy: 0.676 0.436 0.829
Dy: 0.824 0.564 0.329
Dy: 0.824 0.936 0.329
Ir: 0.118 0.750 0.441
Ir: 0.382 0.250 0.941
Ir: 0.618 0.750 0.059
Ir: 0.882 0.250 0.559

Calculated values
SG: No. 62
magnetization: 0.0 μB per cell

***

--- two ---
Compound: SmDy2Ir
Source: Alexandria via LeMat-Bulk
Functional: PBE
Structure: relaxed

a b c (Å): 3.871 12.192 9.246
angles (deg): 90.00 90.00 90.00
Fractional coordinates of all 16 atoms:
Sm: 0.000 0.073 0.250
Sm: 0.000 0.927 0.750
Sm: 0.500 0.427 0.750
Sm: 0.500 0.573 0.250
Dy: 0.000 0.358 0.067
Dy: 0.000 0.358 0.433
Dy: 0.000 0.642 0.567
Dy: 0.000 0.642 0.933
Dy: 0.500 0.142 0.567
Dy: 0.500 0.142 0.933
Dy: 0.500 0.858 0.067
Dy: 0.500 0.858 0.433
Ir: 0.000 0.247 0.750
Ir: 0.000 0.753 0.250
Ir: 0.500 0.253 0.250
Ir: 0.500 0.747 0.750

Calculated values
SG: No. 63
magnetization: 0.0 μB per cell

***

--- three ---
Compound: SmDy2Ir
Source: Alexandria via LeMat-Bulk
Functional: PBE
Structure: relaxed

a b c (Å): 3.489 3.489 8.866
angles (deg): 90.00 90.00 90.00
Fractional coordinates of all 4 atoms:
Sm: 0.000 0.000 0.000
Dy: 0.500 0.500 0.316
Dy: 0.500 0.500 0.684
Ir: 0.000 0.000 0.500

Calculated values
SG: No. 123
magnetization: 0.0 μB per cell

***

--- four ---
Compound: SmDy2Ir
Source: Alexandria via LeMat-Bulk
Functional: PBE
Structure: relaxed

a b c (Å): 3.988 3.988 26.552
angles (deg): 90.00 90.00 120.00
Fractional coordinates of all 12 atoms:
Sm: 0.000 0.000 0.000
Sm: 0.333 0.667 0.667
Sm: 0.667 0.333 0.333
Dy: 0.000 0.000 0.226
Dy: 0.000 0.000 0.446
Dy: 0.333 0.667 0.113
Dy: 0.333 0.667 0.892
Dy: 0.667 0.333 0.559
Dy: 0.667 0.333 0.779
Ir: 0.000 0.000 0.836
Ir: 0.333 0.667 0.503
Ir: 0.667 0.333 0.169

Calculated values
SG: No. 160
magnetization: 0.0 μB per cell

***

So which one is most stable? That would be one, about 36 meV/atom below the next structure.

***

--- one ---
Compound: SmDy2Ir2
Source: Alexandria via LeMat-Bulk
Functional: PBE
Structure: relaxed

a b c (Å): 5.511 4.416 10.537
angles (deg): 90.00 97.34 90.00
Fractional coordinates of all 10 atoms:
Sm: 0.096 0.250 0.289
Sm: 0.904 0.750 0.711
Dy: 0.251 0.250 0.970
Dy: 0.394 0.250 0.617
Dy: 0.606 0.750 0.383
Dy: 0.749 0.750 0.030
Ir: 0.156 0.750 0.477
Ir: 0.269 0.750 0.138
Ir: 0.731 0.250 0.862
Ir: 0.844 0.250 0.523

Calculated values
SG: No. 11
magnetization: 0.0 μB per cell

***

--- two ---
Compound: SmDy2Ir2
Source: Alexandria via LeMat-Bulk
Functional: PBE
Structure: relaxed

a b c (Å): 4.816 4.816 6.042
angles (deg): 90.00 90.00 120.00
Fractional coordinates of all 5 atoms:
Sm: 0.000 0.000 0.000
Dy: 0.333 0.667 0.662
Dy: 0.667 0.333 0.338
Ir: 0.333 0.667 0.177
Ir: 0.667 0.333 0.823

Calculated values
SG: No. 164
magnetization: 0.0 μB per cell

***

So which one is most stable? That would be two, about 35 meV/atom below the next structure.